Record 1
CsGa2SnI8: optimized geometry, PBE.

mass density = 4.126 Mg/m³
formation energy from raw total energies = -705 kJ/mol of formula units

The structure in POSCAR format:
```
CsGa2SnI8
1.0
7.702 0.000 0.000
-3.851 6.671 0.000
0.000 0.000 11.017
Cs Ga Sn I
1 2 1 8
Direct
0.000 0.000 0.000
0.333 0.667 0.759
0.667 0.333 0.241
0.000 0.000 0.500
0.005 0.332 0.679
0.327 0.995 0.679
0.332 0.327 0.321
0.333 0.667 0.997
0.667 0.333 0.003
0.668 0.673 0.679
0.673 0.005 0.321
0.995 0.668 0.321
```


Record 2
HgPb3N: optimized geometry, PBE.

mass density = 10.480 Mg/m³
formation energy from raw total energies = 242 kJ/mol of formula units

The structure in POSCAR format:
```
HgPb3N
1.0
5.098 0.000 0.000
0.000 5.098 0.000
0.000 0.000 5.098
Hg Pb N
1 3 1
Direct
0.000 0.000 0.000
0.000 0.500 0.500
0.500 0.000 0.500
0.500 0.500 0.000
0.500 0.500 0.500
```


Record 3
RbCd2Hg: optimized geometry, PBE.

mass density = 6.276 Mg/m³
ΔH_f (0 K) = 3.0 meV/atom

The structure in POSCAR format:
```
RbCd2Hg
1.0
5.035 0.000 0.000
0.000 5.035 0.000
0.000 0.000 5.331
Rb Cd Hg
1 2 1
Direct
0.000 0.000 0.000
0.000 0.500 0.500
0.500 0.000 0.500
0.500 0.500 0.000
```


Record 4
PaNbV2: optimized geometry, PBE.

mass density = 10.238 Mg/m³
ΔH_f (0 K) = 167.4 meV/atom

The structure in POSCAR format:
```
PaNbV2
1.0
3.262 0.000 0.000
0.000 3.262 0.000
0.000 0.000 6.493
Pa Nb V
1 1 2
Direct
0.000 0.000 0.000
0.000 0.000 0.500
0.500 0.500 0.251
0.500 0.500 0.749
```


Record 5
NaPrSn: optimized geometry, PBE.

mass density = 5.219 Mg/m³
ΔH_f (0 K) = -206.4 meV/atom

The structure in POSCAR format:
```
NaPrSn
1.0
-2.168 2.168 4.784
2.168 -2.168 4.784
2.168 2.168 -4.784
Na Pr Sn
1 1 1
Direct
0.000 0.000 0.000
0.322 0.322 0.000
0.672 0.672 0.000
```


Record 6
LiZn3Ga: optimized geometry, PBE.

mass density = 5.720 Mg/m³
ΔH_f (0 K) = -96.5 meV/atom

The structure in POSCAR format:
```
LiZn3Ga
1.0
4.247 0.000 0.000
2.100 3.851 0.000
2.029 -0.987 9.687
Li Zn Ga
2 6 2
Direct
0.096 0.439 0.357
0.904 0.561 0.643
0.172 0.942 0.741
0.279 0.321 0.079
0.356 0.817 0.467
0.644 0.183 0.533
0.721 0.679 0.921
0.828 0.058 0.259
0.458 0.306 0.813
0.542 0.694 0.187
```